Record 1
Compound: Dy2Er2C3
Source: OQMD
Functional: PBE
Structure: relaxed

Summary:
* calculated total energy: -47.68 eV/cell

Cell lengths 6.7152, 6.7152, 6.0510 Å; angles 114.06, 114.06, 31.76 degrees
Sites, in units of the cell vectors:
C  0.7208  0.7208  0.2065
C  0.0000  0.0000  0.5000
C  0.2792  0.2792  0.7935
Dy  0.6358  0.6358  0.4951
Dy  0.3642  0.3642  0.5049
Er  0.8666  0.8666  0.0541
Er  0.1334  0.1334  0.9459

***

Record 2
Compound: ScAg3F6
Source: OQMD
Functional: PBE
Structure: relaxed

Summary:
* calculated total energy: -46.23 eV/cell

Cell lengths 5.9933, 5.9933, 5.9933 Å; angles 60.00, 60.00, 60.00 degrees
Site moments in Bohr magnetons follow the coordinates.
Sites, in units of the cell vectors:
Ag  0.2500  0.2500  0.2500  0.00
Ag  0.5000  0.5000  0.5000  -0.05
Ag  0.7500  0.7500  0.7500  0.00
F  0.7666  0.2334  0.2334  0.00
F  0.2334  0.7666  0.2334  0.00
F  0.7666  0.7666  0.2334  0.00
F  0.2334  0.2334  0.7666  0.00
F  0.7666  0.2334  0.7666  0.00
F  0.2334  0.7666  0.7666  0.00
Sc  0.0000  0.0000  0.0000  0.00

***

Record 3
Compound: CoTcPd
Source: OQMD
Functional: PBE
Structure: relaxed

Summary:
* E_form: 0.5530 eV per atom
* ΔE to the lowest computed polymorph: 0.0 meV/atom

Cell lengths 4.0056, 4.0056, 4.0056 Å; angles 60.00, 60.00, 60.00 degrees
Sites, in units of the cell vectors:
Co  0.0000  0.0000  0.0000
Pd  0.2500  0.2500  0.2500
Tc  0.7500  0.7500  0.7500